Compound: Y2ZnRh
Source: Alexandria via LeMat-Bulk
Functional: GGA-PBEsol
Structure: relaxed

Lattice parameters (Å, degrees): 3.8025 3.8025 22.3691 90.00 90.00 120.00
Space group R-3m (No. 166, hexagonal axes)
Unique sites:
Y  0.0000  0.0000  0.2390 [6 per cell]
Zn  0.0000  0.0000  0.0000 [3 per cell]
Rh  0.0000  0.0000  0.5000 [3 per cell]

## Properties
ΔE_f in eV/f.u.: -1.52


Compound: Y2ZnRh
Source: Alexandria via LeMat-Bulk
Functional: GGA-PBEsol
Structure: relaxed

Lattice parameters (Å, degrees): 3.450 3.450 6.911 90.00 90.00 90.00
Space group P4/mmm (No. 123)
Unique sites:
Y  0.000  0.000  0.237 [2 per cell]
Zn  0.500  0.500  0.500 [1 per cell]
Rh  0.500  0.500  0.000 [1 per cell]

## Properties
ΔE_f in eV/f.u.: -2.35